Compound: Ti2As2Cl
Source: Alexandria via LeMat-Bulk
Functional: PBE
Structure: relaxed

Values from the calculation:
For the formation energy without anion corrections, the calculation gives -0.26 eV per atom. As for the energy above the lowest structure with this stoichiometry: 541 meV/atom. The value obtained for the magnetic moment is 1.53 μB/f.u. The crystal system is tetragonal. For the total energy, the calculation gives -28.24 eV/f.u. Its density is 4.737 g cm⁻³. The calculation puts the density of states at the Fermi level at 7.14 states/eV/f.u.

a b c (Å): 3.955 3.955 12.598
angles (deg): 90.00 90.00 90.00
Space group I4/mmm (No. 139)
Inequivalent atoms, fractional coordinates:
Ti 0.000 0.000 0.115 x4
As 0.000 0.500 0.250 x4
Cl 0.000 0.000 0.500 x2